1.
This record from the Alexandria database describes MgAlZn2 at its PBEsol-relaxed geometry. The functional is SCAN.

Output
**ΔE_f**: -0.0065 eV/atom

a = 2.8708 Å, b = 2.8708 Å, c = 7.9314 Å
α = 90.00°, β = 90.00°, γ = 90.00°
Closest atoms and distances in Å follow each position.
Positions (direct):
Zn1 0.5000 0.5000 0.2399  8 Zn 2.69-2.87, 4 Al 2.78
Zn2 0.0000 0.0000 0.0176  8 Zn 2.69-2.87, 4 Mg 2.86
Al1 0.0000 0.0000 0.4794  4 Zn 2.78, 4 Al 2.87, 4 Mg 3.03
Mg1 0.5000 0.5000 0.7630  4 Zn 2.86, 4 Mg 2.87, 4 Al 3.03

***

2.
This record from the Alexandria database describes TeWN2F at its PBEsol-relaxed geometry. The functional is SCAN.

Output
**Formation energy without anion corrections**: 8.086 eV per formula unit

a = 4.0497 Å, b = 4.1674 Å, c = 4.1674 Å
α = 90.00°, β = 90.00°, γ = 90.00°
Closest atoms and distances in Å follow each position.
Positions (direct):
F1 0.5000 0.0000 0.0000  2 Te 2.02
W1 0.5000 0.5000 0.5000  8 N 2.91, 4 F 2.95
Te1 0.0000 0.0000 0.0000  2 F 2.02, 4 N 2.08
N1 0.0000 0.0000 0.5000  2 Te 2.08
N2 0.0000 0.5000 0.0000  2 Te 2.08

***

3.
This record from the Alexandria database describes CsHf2N2 at its PBEsol-relaxed geometry. The functional is SCAN.

Output
**Formation energy without anion corrections**: -5.096 eV per formula unit

a = 4.1999 Å, b = 4.1999 Å, c = 7.9257 Å
α = 105.36°, β = 105.36°, γ = 90.00°
Closest atoms and distances in Å follow each position.
Positions (direct):
N1 0.7787 0.7787 0.5575  4 Hf 2.14
Hf1 0.7500 0.2500 0.5000  4 N 2.14
N2 0.2213 0.2213 0.4425  4 Hf 2.14
Cs1 0.0000 0.0000 0.0000  2 N 3.25
Hf2 0.2500 0.7500 0.5000  4 N 2.14

***

4.
This record from the Alexandria database describes Zr2Ga2Rh at its PBEsol-relaxed geometry. The functional is SCAN.

Output
**ΔE_f**: -0.8644 eV/atom

a = 3.9857 Å, b = 6.5603 Å, c = 6.5603 Å
α = 90.00°, β = 90.00°, γ = 90.00°
Closest atoms and distances in Å follow each position.
Positions (direct):
Zr1 0.5000 0.6724 0.8276  6 Ga 2.68-2.84
Ga1 0.0000 0.3660 0.8660  1 Ga 2.49, 2 Rh 2.56, 2 Zr 2.68
Ga2 0.0000 0.6340 0.1340  1 Ga 2.49, 2 Rh 2.56, 2 Zr 2.68
Ga3 0.0000 0.8660 0.6340  1 Ga 2.49, 2 Rh 2.56, 2 Zr 2.68
Ga4 0.0000 0.1340 0.3660  1 Ga 2.49, 2 Rh 2.56, 2 Zr 2.68
Rh1 0.0000 0.0000 0.0000  4 Ga 2.56
Zr2 0.5000 0.8276 0.3276  6 Ga 2.68-2.84
Rh2 0.0000 0.5000 0.5000  4 Ga 2.56
Zr3 0.5000 0.1724 0.6724  6 Ga 2.68-2.84
Zr4 0.5000 0.3276 0.1724  6 Ga 2.68-2.84

***

5.
This record from the Alexandria database describes KCrAs2 at its PBEsol-relaxed geometry. The functional is SCAN.

Output
**Distance to the lowest polymorph of the same formula**: 0.0000 eV per atom
**ΔE_f**: 0.1314 eV/atom

a = 3.0329 Å, b = 5.3067 Å, c = 5.3067 Å
α = 110.08°, β = 90.00°, γ = 90.00°
Closest atoms and distances in Å follow each position.
Positions (direct):
Cr1 0.5000 0.5000 0.5000  2 Cr 3.03, 2 K 3.04, 8 As 3.06
As1 0.0000 0.5000 0.0000  4 As 3.03-3.04, 4 K 3.06, 4 Cr 3.06
K1 0.5000 0.0000 0.0000  2 K 3.03, 2 Cr 3.04, 8 As 3.06
As2 0.0000 0.0000 0.5000  4 As 3.03-3.04, 4 Cr 3.06, 4 K 3.06

***

6.
This record from the Alexandria database describes Y2Au at its PBEsol-relaxed geometry. The functional is SCAN.

Output
**ΔE_f**: -0.7507 eV/atom

a = 3.5969 Å, b = 5.1383 Å, c = 8.3263 Å
α = 90.00°, β = 102.47°, γ = 90.00°
Closest atoms and distances in Å follow each position.
Positions (direct):
Y1 0.2205 0.2500 0.4410  2 Au 2.94, 4 Y 3.28
Au1 0.4229 0.7500 0.8458  8 Y 2.94-3.14
Y2 0.9239 0.2500 0.8478  6 Au 3.07-3.14
Y3 0.7795 0.7500 0.5591  2 Au 2.94, 4 Y 3.28
Y4 0.0761 0.7500 0.1522  6 Au 3.07-3.14
Au2 0.5771 0.2500 0.1542  8 Y 2.94-3.14

***

7.
This record from the Alexandria database describes Mg2GaSbH at its PBEsol-relaxed geometry. The functional is SCAN.

a = 5.2534 Å, b = 5.0288 Å, c = 5.0288 Å
α = 90.00°, β = 90.00°, γ = 90.00°
Closest atoms and distances in Å follow each position.
Positions (direct):
H1 0.5000 0.5000 0.5000  4 Sb 3.56, 8 Mg 3.64
Sb1 0.5000 0.0000 0.0000  2 Ga 2.63
Mg1 0.0000 0.0000 0.5000  2 Ga 2.51
Mg2 0.0000 0.5000 0.0000  2 Ga 2.51
Ga1 0.0000 0.0000 0.0000  4 Mg 2.51, 2 Sb 2.63

***

8.
This record from the Alexandria database describes AgPSe2 at its PBEsol-relaxed geometry. The functional is SCAN.

Output
**Formation energy without anion corrections**: 0.929 eV per formula unit

a = 2.8149 Å, b = 5.2445 Å, c = 5.2445 Å
α = 89.98°, β = 89.32°, γ = 89.32°
Closest atoms and distances in Å follow each position.
Positions (direct):
Se1 0.0000 0.0000 0.5000  2 Ag 2.62, 2 P 2.62, 2 Se 2.81
P1 0.0000 0.0000 0.0000  4 Se 2.62, 2 P 2.81
Se2 0.0000 0.5000 0.0000  2 P 2.62, 2 Ag 2.62, 2 Se 2.81
Ag1 0.0000 0.5000 0.5000  4 Se 2.62, 2 Ag 2.81

***

9.
This record from the Alexandria database describes ScAl2Ag at its PBEsol-relaxed geometry. The functional is SCAN.

Output
**ΔE_f**: -0.2328 eV/atom

a = 3.0797 Å, b = 3.8578 Å, c = 5.9337 Å
α = 90.00°, β = 90.00°, γ = 90.00°
Closest atoms and distances in Å follow each position.
Positions (direct):
Ag1 0.5000 0.5000 0.7670  5 Al 2.77-2.83, 4 Sc 2.94, 2 Ag 3.08
Al1 0.0000 0.0000 0.0011  6 Al 2.83-3.08, 4 Ag 2.83, 2 Sc 2.95-2.98
Sc1 0.0000 0.0000 0.4988  6 Al 2.93-2.98, 4 Ag 2.94, 2 Sc 3.08
Al2 0.5000 0.5000 0.2331  1 Ag 2.77, 6 Al 2.83-3.08, 4 Sc 2.93

***

10.
This record from the Alexandria database describes CaTlTe2 at its PBEsol-relaxed geometry. The functional is SCAN.

Output
**Formation energy without anion corrections**: -1.753 eV per formula unit

a = 5.4818 Å, b = 5.4818 Å, c = 5.4818 Å
α = 60.00°, β = 60.00°, γ = 60.00°
Closest atoms and distances in Å follow each position.
Positions (direct):
Ca1 0.5000 0.5000 0.5000  4 Tl 3.36, 4 Te 3.36
Te1 0.7500 0.7500 0.7500  4 Ca 3.36, 4 Te 3.36
Te2 0.0000 0.0000 0.0000  4 Tl 3.36, 4 Te 3.36
Tl1 0.2500 0.2500 0.2500  4 Ca 3.36, 4 Te 3.36

***

Number 1: total magnetization 0.00 μB/f.u., uncorrected energy -9.95 eV per atom. Number 2: total magnetization 3.63 μB/f.u., uncorrected energy -24.20 eV per atom. Number 3: total magnetization 0.00 μB/f.u., uncorrected energy -37.37 eV per atom. Number 4: total magnetization 0.00 μB/f.u., uncorrected energy -26.44 eV per atom. Number 5: total magnetization 4.22 μB/f.u., uncorrected energy -16.64 eV per atom. Number 6: total magnetization 0.00 μB/f.u., uncorrected energy -42.36 eV per atom. Number 7: total magnetization 0.00 μB/f.u., uncorrected energy -12.73 eV per atom. Number 8: total magnetization 0.00 μB/f.u., uncorrected energy -20.25 eV per atom. Number 9: total magnetization 0.38 μB/f.u., uncorrected energy -15.51 eV per atom. Number 10: total magnetization 0.00 μB/f.u., uncorrected energy -39.57 eV per atom.